Entry 1:
The following is a DFT calculation (PBE) of an optimized crystal structure of Na2Sn5Pd3.

```
Na2Sn5Pd3
1.0
-6.2422 0.8534 -0.8397
-4.2375 -8.1909 -0.8789
-4.5533 -1.9279 7.8339
Na Sn Pd
4 10 6
Direct
0.1655 0.5579 0.1110
0.6655 0.1110 0.5579
0.8345 0.4421 0.8890
0.3345 0.8890 0.4421
0.4257 0.2600 0.8887
0.9257 0.8887 0.2600
0.5743 0.7400 0.1113
0.0743 0.1113 0.7400
0.4552 0.7948 0.7948
0.5448 0.2052 0.2052
0.7500 0.5000 0.5000
0.2500 0.5000 0.5000
0.0448 0.2052 0.2052
0.9552 0.7948 0.7948
0.3518 0.5635 0.7329
0.8518 0.7329 0.5635
0.6482 0.4365 0.2671
0.1482 0.2671 0.4365
0.2500 0.0000 0.0000
0.7500 0.0000 0.0000
```

Properties
Magnetic moment in μB per formula unit: 0.00
Symmetry: No. 72
Energy relative to the lowest polymorph listed for this composition in kcal/mol of atoms: 0.743

---

Entry 2:
The following is a DFT calculation (PBE) of an optimized crystal structure of NaSn2Pd.

```
NaSn2Pd
1.0
-0.7901 3.1382 -1.0491
-2.1810 0.4341 -2.5745
-8.0957 1.4275 4.8513
Na Sn Pd
1 2 1
Direct
0.5000 0.5000 0.5000
0.7376 0.7376 0.7873
0.2624 0.2624 0.2127
0.0000 0.0000 0.0000
```

Properties
Magnetic moment in μB per formula unit: 0.00
Symmetry: No. 166

---

Entry 3:
The following is a DFT calculation (PBE) of an optimized crystal structure of Na3Sn7Pd2.

```
Na3Sn7Pd2
1.0
4.8572 0.0000 0.0000
0.0000 4.8618 -0.7223
0.0000 -0.3404 14.4473
Na Sn Pd
3 7 2
Direct
0.5000 0.5000 0.0000
0.5000 0.7096 0.4191
0.5000 0.2904 0.5809
0.0000 0.3715 0.7430
0.0000 0.7939 0.5879
0.0000 0.0000 0.0000
0.0000 0.6285 0.2570
0.5000 0.1299 0.2598
0.5000 0.8701 0.7402
0.0000 0.2061 0.4121
0.0000 0.9112 0.8222
0.0000 0.0888 0.1778
```

Properties
Magnetic moment in μB per formula unit: 0.00
Symmetry: No. 65

---

Entry 4:
The following is a DFT calculation (PBE) of an optimized crystal structure of NaSn7Pd2.

```
NaSn7Pd2
1.0
-1.7146 2.9185 3.2278
5.5079 -2.8893 5.5382
2.5030 6.5076 -4.5545
Na Sn Pd
1 7 2
Direct
0.0000 0.0000 0.0000
0.0000 0.7773 0.2227
0.0000 0.2227 0.7773
0.5000 0.0571 0.3374
0.5000 0.9429 0.6626
0.5000 0.3374 0.0571
0.5000 0.6626 0.9429
0.5000 0.5000 0.5000
0.5000 0.6830 0.3170
0.5000 0.3170 0.6830
```

Properties
Magnetic moment in μB per formula unit: 0.00
Symmetry: No. 65

---

Entry 5:
The following is a DFT calculation (PBE) of an optimized crystal structure of NaSn3Pd.

```
NaSn3Pd
1.0
-2.6778 -4.4190 1.0162
-0.4339 -0.9250 -5.1659
4.5135 -2.7106 0.1063
Na Sn Pd
1 3 1
Direct
0.0000 0.0000 0.0000
0.0000 0.5000 0.0000
0.0000 0.0000 0.5000
0.5000 0.0000 0.0000
0.5000 0.5000 0.5000
```

Properties
Magnetic moment in μB per formula unit: 0.00
Symmetry: No. 221
Energy relative to the lowest polymorph listed for this composition in kcal/mol of atoms: 25.275

---

Entry 6:
The following is a DFT calculation (PBE) of an optimized crystal structure of Na12Sn7Pd.

```
Na12Sn7Pd
1.0
8.6189 0.2087 0.3132
-2.1961 8.3370 0.3132
-2.1962 -2.9220 7.8145
Na Sn Pd
12 7 1
Direct
0.7738 0.2698 0.5432
0.7302 0.4568 0.2262
0.3968 0.1151 0.2505
0.8849 0.7495 0.6032
0.4568 0.2262 0.7302
0.7495 0.6032 0.8849
0.2505 0.3968 0.1151
0.5432 0.7738 0.2698
0.1151 0.2505 0.3968
0.6032 0.8849 0.7495
0.2698 0.5432 0.7738
0.2262 0.7302 0.4568
0.1429 0.7349 0.0732
0.2651 0.9268 0.8571
0.9268 0.8571 0.2651
0.5000 0.5000 0.5000
0.0732 0.1429 0.7349
0.7349 0.0732 0.1429
0.8571 0.2651 0.9268
0.0000 0.0000 0.0000
```

Properties
Magnetic moment in μB per formula unit: 0.00
Symmetry: No. 148

---

Entry 7:
The following is a DFT calculation (PBE) of an optimized crystal structure of NaSnPd.

```
NaSnPd
1.0
4.6015 0.0000 0.0000
2.3007 3.9850 0.0000
2.3007 1.3283 3.7571
Na Sn Pd
1 1 1
Direct
0.5000 0.5000 0.5000
0.0000 0.0000 0.0000
0.2500 0.2500 0.2500
```

Properties
Magnetic moment in μB per formula unit: 0.00
Symmetry: No. 216

---

Entry 8:
The following is a DFT calculation (PBE) of an optimized crystal structure of NaSn6Pd3.

```
NaSn6Pd3
1.0
-2.3433 2.6261 -2.7746
-8.4049 -3.6324 3.6604
0.1621 7.6256 7.0805
Na Sn Pd
2 12 6
Direct
0.7500 0.0872 0.7484
0.2500 0.9128 0.2516
0.7500 0.3901 0.5539
0.2500 0.6099 0.4461
0.7500 0.8864 0.0101
0.2500 0.1136 0.9899
0.7500 0.3994 0.0687
0.2500 0.6006 0.9313
0.7500 0.6793 0.2263
0.2500 0.3207 0.7737
0.7500 0.0829 0.4154
0.2500 0.9171 0.5846
0.7500 0.7283 0.7256
0.2500 0.2717 0.2744
0.7500 0.4700 0.8160
0.2500 0.5300 0.1840
0.7500 0.8024 0.4657
0.2500 0.1976 0.5343
0.7500 0.1377 0.1510
0.2500 0.8623 0.8490
```

Properties
Magnetic moment in μB per formula unit: 0.00
Symmetry: No. 11

---

Energy of formation values, unit eV per atom, following the record order: -0.37; -0.27; -0.09; -0.08; 0.84; -0.18; -0.23; -0.37.